Entry 1:
A plane-wave DFT calculation with GGA-PBE was carried out for a relaxed NiTe2OsN crystal.

Unit cell a=5.379 b=5.379 c=3.630 alpha=90.00 beta=90.00 gamma=90.00
Positions (direct):
1 Te 0.500 0.000 0.000
2 Te 0.000 0.500 0.000
3 Ni 0.500 0.500 0.500
4 Os 0.000 0.000 0.000
5 N 0.000 0.000 0.500

formation energy (no corrections)	0.65	eV per atom
distance to the lowest polymorph of the same formula	0	meV/atom
space-group type	P4/mmm (123)

***

Entry 2:
A plane-wave DFT calculation with GGA-PBE was carried out for a relaxed ZrZn11Rh crystal.

Unit cell a=5.162 b=6.738 c=6.750 alpha=81.13 beta=67.52 gamma=66.23
Positions (direct):
1 Zn 0.289 0.210 0.211
2 Zn 0.500 0.790 0.211
3 Zn 0.500 0.000 0.500
4 Zn 0.000 0.000 0.500
5 Zn 0.636 0.351 0.346
6 Zn 0.711 0.790 0.789
7 Zn 0.000 0.500 0.000
8 Zn 0.018 0.649 0.346
9 Zn 0.364 0.649 0.654
10 Zn 0.982 0.351 0.654
11 Zn 0.500 0.210 0.789
12 Zr 0.000 0.000 0.000
13 Rh 0.500 0.500 0.000

VASP energy	-2.48	eV per atom
space-group type	C2/m (12)

***

Entry 3:
A plane-wave DFT calculation with GGA-PBE was carried out for a relaxed TmNpNi10 crystal.

Unit cell a=3.960 b=4.846 c=8.392 alpha=90.00 beta=90.00 gamma=90.00
Positions (direct):
1 Ni 0.500 0.500 0.000
2 Ni 0.500 0.251 0.251
3 Ni 0.000 0.000 0.335
4 Ni 0.000 0.500 0.830
5 Ni 0.000 0.000 0.665
6 Ni 0.500 0.251 0.749
7 Ni 0.500 0.000 0.500
8 Ni 0.500 0.749 0.749
9 Ni 0.500 0.749 0.251
10 Ni 0.000 0.500 0.170
11 Tm 0.000 0.000 0.000
12 Np 0.000 0.500 0.500

VASP energy	-6.50	eV per atom
space-group type	Pmmm (47)